Material: Ti2CuI8
Method: DFT, GGA-PBE
State: relaxed

The total energy comes out at -38.4 eV/f.u. The crystal system is monoclinic. As for the formation energy (no corrections): -0.557 eV per atom.

It has space group C2/m (No. 12), with a = 13.827 Å, b = 11.108 Å, c = 7.137 Å, α = 90.00°, β = 92.28° and γ = 90.00°. The inequivalent atoms are Ti at (0.188, 0.000, 0.357), Cu at (0.000, 0.000, 0.000), I at (0.095, 0.184, 0.211), I at (0.134, 0.500, 0.738) and I at (0.177, 0.000, 0.718).